# ScRe | the Alexandria database | PBE-GGA | optimized geometry
# formation enthalpy at 0 K	0.20	eV per atom
# crystal system	tetragonal
# density of states at the Fermi level	15.42	states/eV/cell
# spin magnetization	0.00	μB/cell
data_ScRe
_space_group_name_H-M_alt 'P 4/m c c'
_space_group_IT_number 124
_space_group_name_Hall '-P 4 2c'
_cell_length_a 7.9774
_cell_length_b 7.9774
_cell_length_c 4.9543
_cell_angle_alpha 90.00
_cell_angle_beta 90.00
_cell_angle_gamma 90.00
loop_
_atom_site_label
_atom_site_type_symbol
_atom_site_fract_x
_atom_site_fract_y
_atom_site_fract_z
_atom_site_occupancy
Sc1 Sc 0.0829 0.2939 0.0000 1
Re1 Re 0.2893 0.4236 0.5000 1

=====

# Sc5Re | the Alexandria database | PBE-GGA | optimized geometry
# formation enthalpy at 0 K	0.53	eV per atom
# crystal system	cubic
# energy above the lowest structure with this stoichiometry	3.433	eV per formula unit
# density of states at the Fermi level	35.98	states/eV/cell
# spin magnetization	9.38	μB/cell
data_Sc5Re
_space_group_name_H-M_alt 'F -4 3 m'
_space_group_IT_number 216
_space_group_name_Hall 'F -4 2 3'
_cell_length_a 7.9878
_cell_length_b 7.9878
_cell_length_c 7.9878
_cell_angle_alpha 90.00
_cell_angle_beta 90.00
_cell_angle_gamma 90.00
loop_
_atom_site_label
_atom_site_type_symbol
_atom_site_fract_x
_atom_site_fract_y
_atom_site_fract_z
_atom_site_occupancy
Sc1 Sc 0.0000 0.0000 0.0000 1
Sc2 Sc 0.1234 0.1234 0.3766 1
Re1 Re 0.2500 0.2500 0.7500 1

=====

# Sc3Re | the Alexandria database | PBE-GGA | optimized geometry
# formation enthalpy at 0 K	-0.09	eV per atom
# crystal system	orthorhombic
# density of states at the Fermi level	13.79	states/eV/cell
# spin magnetization	0.00	μB/cell
data_Sc3Re
_space_group_name_H-M_alt 'P n m a'
_space_group_IT_number 62
_space_group_name_Hall '-P 2ac 2n'
_cell_length_a 7.2806
_cell_length_b 8.4556
_cell_length_c 5.6123
_cell_angle_alpha 90.00
_cell_angle_beta 90.00
_cell_angle_gamma 90.00
loop_
_atom_site_label
_atom_site_type_symbol
_atom_site_fract_x
_atom_site_fract_y
_atom_site_fract_z
_atom_site_occupancy
Sc1 Sc 0.0355 0.2500 0.1134 1
Sc2 Sc 0.1754 0.0626 0.6316 1
Re1 Re 0.1218 0.7500 0.4397 1

=====

# ScRe | the Alexandria database | PBE-GGA | optimized geometry
# formation enthalpy at 0 K	0.18	eV per atom
# crystal system	orthorhombic
# density of states at the Fermi level	7.34	states/eV/cell
# spin magnetization	0.00	μB/cell
data_ScRe
_space_group_name_H-M_alt 'C m c m'
_space_group_IT_number 63
_space_group_name_Hall '-C 2c 2'
_cell_length_a 4.3639
_cell_length_b 9.7966
_cell_length_c 3.9035
_cell_angle_alpha 90.00
_cell_angle_beta 90.00
_cell_angle_gamma 90.00
loop_
_atom_site_label
_atom_site_type_symbol
_atom_site_fract_x
_atom_site_fract_y
_atom_site_fract_z
_atom_site_occupancy
Sc1 Sc 0.0000 0.1390 0.2500 1
Re1 Re 0.0000 0.4312 0.2500 1

=====

# Sc3Re | the Alexandria database | PBE-GGA | optimized geometry
# formation enthalpy at 0 K	0.63	eV per atom
# crystal system	cubic
# density of states at the Fermi level	4.18	states/eV/cell
# spin magnetization	0.00	μB/cell
data_Sc3Re
_space_group_name_H-M_alt 'P m -3 m'
_space_group_IT_number 221
_space_group_name_Hall '-P 4 2 3'
_cell_length_a 5.1221
_cell_length_b 5.1221
_cell_length_c 5.1221
_cell_angle_alpha 90.00
_cell_angle_beta 90.00
_cell_angle_gamma 90.00
loop_
_atom_site_label
_atom_site_type_symbol
_atom_site_fract_x
_atom_site_fract_y
_atom_site_fract_z
_atom_site_occupancy
Sc1 Sc 0.0000 0.0000 0.5000 1
Re1 Re 0.0000 0.0000 0.0000 1

=====

# ScRe | the Alexandria database | PBE-GGA | optimized geometry
# formation enthalpy at 0 K	0.20	eV per atom
# crystal system	trigonal
# density of states at the Fermi level	2.44	states/eV/cell
# spin magnetization	0.00	μB/cell
data_ScRe
_space_group_name_H-M_alt 'P -3 m 1'
_space_group_IT_number 164
_space_group_name_Hall '-P 3 2"'
_cell_length_a 2.9860
_cell_length_b 2.9860
_cell_length_c 9.5322
_cell_angle_alpha 90.00
_cell_angle_beta 90.00
_cell_angle_gamma 120.00
loop_
_atom_site_label
_atom_site_type_symbol
_atom_site_fract_x
_atom_site_fract_y
_atom_site_fract_z
_atom_site_occupancy
Sc1 Sc 0.3333 0.6667 0.1537 1
Re1 Re 0.3333 0.6667 0.6054 1